# 1
Computed, not measured: crystalline Ho3Hg5 at its relaxed geometry at the PBE level of DFT.

Computed properties:
The total magnetization is 0.017 μB per cell. Its polymorph energy (0 for the lowest one) is 0.0 meV/atom. For the volume, the calculation gives 195 Å³/f.u.

extended XYZ file:
```
16
Lattice="-2.340 5.862 0.316 -1.003 1.024 6.155 9.367 3.689 0.913" Properties=species:S:1:pos:R:3 pbc="T T T"
Hg -1.819 4.945 1.561
Hg 1.067 4.076 0.560
Hg -0.404 7.107 3.408
Hg 0.720 4.186 3.680
Hg 2.382 6.599 1.971
Hg 3.642 3.976 5.413
Hg 5.304 6.390 3.704
Hg 6.428 3.469 3.976
Hg 4.957 6.500 6.824
Hg 7.843 5.631 5.823
Ho -0.956 1.970 1.851
Ho -2.387 4.917 4.620
Ho 1.260 2.232 6.039
Ho 3.727 3.814 2.307
Ho 2.297 6.761 5.077
Ho 4.765 8.344 1.345
```


# 2
Computed, not measured: crystalline RbUAuSe2S at its relaxed geometry at the PBE level of DFT.

Computed properties:
Its total energy is -5.465 eV per atom. The total magnetization is 4.000 μB per cell. For the volume, the calculation gives 171 Å³/f.u.

extended XYZ file:
```
12
Lattice="7.667 -2.080 0.000 7.667 2.080 0.000 -0.007 0.000 10.745" Properties=species:S:1:pos:R:3 pbc="T T T"
Au 8.385 0.000 2.701
Au 6.942 0.000 8.044
Rb 3.826 0.000 2.780
Rb 11.501 0.000 7.965
S 9.407 0.000 4.926
S 5.920 0.000 5.819
Se 9.602 0.000 0.435
Se 14.305 0.000 2.686
Se 1.022 0.000 8.059
Se 5.725 0.000 10.310
U 0.000 0.000 0.000
U -0.004 0.000 5.372
```


# 3
Computed, not measured: crystalline Nb2HgPd at its relaxed geometry at the PBE level of DFT.

Computed properties:
Its total energy is -6.178 eV per atom. The total magnetization is 0.138 μB per cell. For the volume, the calculation gives 72 Å³/f.u.

extended XYZ file:
```
4
Lattice="-1.857 -3.949 -1.667 -4.491 -0.110 -1.282 -1.131 -0.323 -4.521" Properties=species:S:1:pos:R:3 pbc="T T T"
Hg -3.740 -2.191 -3.735
Nb 0.000 0.000 0.000
Nb -1.870 -1.096 -1.868
Pd -5.609 -3.287 -5.603
```


# 4
Computed, not measured: crystalline ZnGa2Pd at its relaxed geometry at the PBE level of DFT.

Computed properties:
Its total energy is -3.288 eV per atom. For the volume, the calculation gives 65 Å³/f.u.

extended XYZ file:
```
4
Lattice="-0.904 -1.726 4.067 -3.885 1.000 2.061 -3.190 -3.156 0.452" Properties=species:S:1:pos:R:3 pbc="T T T"
Ga 0.000 0.000 0.000
Ga -1.995 -0.970 1.645
Pd -5.984 -2.911 4.935
Zn -3.989 -1.941 3.290
```


# 5
Computed, not measured: crystalline LuPuSn at its relaxed geometry at the PBE level of DFT.

Computed properties:
The total magnetization is 6.770 μB per cell. Its polymorph energy (0 for the lowest one) is 0.0 meV/atom. For the volume, the calculation gives 91 Å³/f.u.

extended XYZ file:
```
3
Lattice="3.169 -3.901 -0.502 -0.726 -4.207 2.699 -1.545 -4.232 -2.285" Properties=species:S:1:pos:R:3 pbc="T T T"
Lu 0.000 0.000 0.000
Pu 0.224 -3.085 -0.022
Sn 0.673 -9.255 -0.065
```


# 6
Computed, not measured: crystalline PrLuCo at its relaxed geometry at the PBE level of DFT.

Computed properties:
Its total energy is -4.718 eV per atom. The total magnetization is 0.024 μB per cell. For the volume, the calculation gives 73 Å³/f.u.

extended XYZ file:
```
3
Lattice="0.000 3.325 3.325 3.325 0.000 3.325 3.325 3.325 0.000" Properties=species:S:1:pos:R:3 pbc="T T T"
Co 1.662 1.662 1.662
Lu 0.000 0.000 0.000
Pr 4.987 4.987 4.987
```


Q: The highest volume belongs to which entry?
A: Ho3Hg5